[1]
The following is a DFT calculation (PBE) of a geometry-optimized AlAg3Cl6 structure.

Unit cell a=6.6611 b=6.6661 c=11.9290 alpha=90.00 beta=122.08 gamma=90.00
Last column: nearest neighbours and their distance in Å.
Element x y z (fractional)
Al: 0.0000 0.0000 0.0000  6 Cl 2.33-2.38
Al: 0.0000 0.5000 0.5000  6 Cl 2.33-2.38
Ag: 0.2592 0.0445 0.7599  4 Cl 2.65-2.74
Ag: 0.2592 0.4555 0.2599  4 Cl 2.65-2.74
Ag: 0.5000 0.0000 0.5000  4 Cl 2.63-2.84
Ag: 0.5000 0.5000 0.0000  4 Cl 2.63-2.84
Ag: 0.7408 0.5445 0.7401  4 Cl 2.65-2.74
Ag: 0.7408 0.9555 0.2401  4 Cl 2.65-2.74
Cl: 0.0700 0.2055 0.4204  1 Al 2.33
Cl: 0.0700 0.2945 0.9204  1 Al 2.33
Cl: 0.2503 0.6696 0.4478  1 Al 2.36, 1 Ag 2.63
Cl: 0.2503 0.8304 0.9478  1 Al 2.36, 1 Ag 2.63
Cl: 0.3273 0.0796 0.2150  1 Al 2.38, 1 Ag 2.65
Cl: 0.3273 0.4204 0.7150  1 Al 2.38, 1 Ag 2.65
Cl: 0.6727 0.5796 0.2850  1 Al 2.38, 1 Ag 2.65
Cl: 0.6727 0.9204 0.7850  1 Al 2.38, 1 Ag 2.65
Cl: 0.7497 0.1696 0.0522  1 Al 2.36, 1 Ag 2.63
Cl: 0.7497 0.3304 0.5522  1 Al 2.36, 1 Ag 2.63
Cl: 0.9300 0.7055 0.0796  1 Al 2.33
Cl: 0.9300 0.7945 0.5796  1 Al 2.33

Computed properties:
distance to the lowest polymorph of the same formula: 0.0257 eV per atom
formation energy from raw total energies: -794 kJ/mol of formula units

=====

[2]
The following is a DFT calculation (PBE) of a geometry-optimized AlAg2Cl structure.

Unit cell a=3.2338 b=3.2338 c=8.3189 alpha=90.00 beta=90.00 gamma=117.91
Last column: nearest neighbours and their distance in Å.
Element x y z (fractional)
Al: 0.0000 0.0000 0.0000  4 Ag 2.62
Ag: 0.5000 0.5000 0.2431  2 Al 2.62, 2 Cl 2.71
Ag: 0.5000 0.5000 0.7569  2 Al 2.62, 2 Cl 2.71
Cl: 0.0000 0.0000 0.5000  4 Ag 2.71

Computed properties:
distance to the lowest polymorph of the same formula: 0.1308 eV per atom
formation energy from raw total energies: -31 kJ/mol of formula units

=====

[3]
The following is a DFT calculation (PBE) of a geometry-optimized AlAg2Cl5 structure.

Unit cell a=7.1333 b=7.1333 c=12.6271 alpha=90.00 beta=90.00 gamma=139.76
Last column: nearest neighbours and their distance in Å.
Element x y z (fractional)
Al: 0.1834 0.8166 0.7500  6 Cl 2.27-2.46
Al: 0.8166 0.1834 0.2500  6 Cl 2.27-2.46
Ag: 0.1420 0.8580 0.0702  4 Cl 2.61-2.84
Ag: 0.1420 0.8580 0.4298  4 Cl 2.61-2.84
Ag: 0.8580 0.1420 0.5702  4 Cl 2.61-2.84
Ag: 0.8580 0.1420 0.9298  4 Cl 2.61-2.84
Cl: 0.0643 0.9357 0.6219  1 Al 2.27
Cl: 0.0643 0.9357 0.8781  1 Al 2.27
Cl: 0.3015 0.6985 0.2500  2 Al 2.46
Cl: 0.3096 0.6904 0.6193  1 Al 2.36, 2 Ag 2.61
Cl: 0.3096 0.6904 0.8807  1 Al 2.36, 2 Ag 2.61
Cl: 0.6904 0.3096 0.1193  1 Al 2.36, 2 Ag 2.61
Cl: 0.6904 0.3096 0.3807  1 Al 2.36, 2 Ag 2.61
Cl: 0.6985 0.3015 0.7500  2 Al 2.46
Cl: 0.9357 0.0643 0.1219  1 Al 2.27
Cl: 0.9357 0.0643 0.3781  1 Al 2.27

Computed properties:
distance to the lowest polymorph of the same formula: 0.0784 eV per atom
formation energy from raw total energies: -702 kJ/mol of formula units

=====

[4]
The following is a DFT calculation (PBE) of a geometry-optimized AlAgCl4 structure.

Unit cell a=6.0025 b=6.0025 c=6.0025 alpha=60.00 beta=60.00 gamma=60.00
Last column: nearest neighbours and their distance in Å.
Element x y z (fractional)
Al: 0.0000 0.0000 0.0000  12 Cl 3.52, 4 Ag 3.68
Ag: 0.2500 0.2500 0.2500  12 Cl 3.52, 4 Al 3.68
Cl: 0.1247 0.6251 0.6251  6 Cl 3.00
Cl: 0.6251 0.1247 0.6251  6 Cl 3.00
Cl: 0.6251 0.6251 0.1247  6 Cl 3.00
Cl: 0.6251 0.6251 0.6251  6 Cl 3.00

Computed properties:
distance to the lowest polymorph of the same formula: 1.6260 eV per atom
formation energy from raw total energies: 245 kJ/mol of formula units

=====

[5]
The following is a DFT calculation (PBE) of a geometry-optimized Al3AgCl structure.

Unit cell a=4.9575 b=4.9575 c=4.9575 alpha=90.00 beta=90.00 gamma=90.00
Last column: nearest neighbours and their distance in Å.
Element x y z (fractional)
Al: 0.0000 0.0000 0.5000  2 Ag 2.48
Al: 0.0000 0.5000 0.0000  2 Ag 2.48
Al: 0.5000 0.0000 0.0000  2 Ag 2.48
Ag: 0.0000 0.0000 0.0000  6 Al 2.48
Cl: 0.5000 0.5000 0.5000  12 Al 3.51

Computed properties:
distance to the lowest polymorph of the same formula: 0.0000 eV per atom
formation energy from raw total energies: 93 kJ/mol of formula units

=====

[6]
The following is a DFT calculation (PBE) of a geometry-optimized AlAg2Cl structure.

Unit cell a=5.0248 b=5.0248 c=3.0529 alpha=90.00 beta=90.00 gamma=90.00
Last column: nearest neighbours and their distance in Å.
Element x y z (fractional)
Al: 0.0000 0.0000 0.0000  8 Ag 2.94, 2 Al 3.05
Ag: 0.0000 0.5000 0.5000  4 Cl 2.94, 4 Al 2.94, 2 Ag 3.05
Ag: 0.5000 0.0000 0.5000  4 Cl 2.94, 4 Al 2.94, 2 Ag 3.05
Cl: 0.5000 0.5000 0.0000  8 Ag 2.94, 2 Cl 3.05

Computed properties:
distance to the lowest polymorph of the same formula: 0.3590 eV per atom
formation energy from raw total energies: 57 kJ/mol of formula units

=====

[7]
The following is a DFT calculation (PBE) of a geometry-optimized AlAgCl3 structure.

Unit cell a=5.0767 b=5.0767 c=5.0767 alpha=90.00 beta=90.00 gamma=90.00
Last column: nearest neighbours and their distance in Å.
Element x y z (fractional)
Al: 0.0000 0.0000 0.0000  12 Cl 3.59
Ag: 0.5000 0.5000 0.5000  6 Cl 2.54
Cl: 0.0000 0.5000 0.5000  2 Ag 2.54
Cl: 0.5000 0.0000 0.5000  2 Ag 2.54
Cl: 0.5000 0.5000 0.0000  2 Ag 2.54

Computed properties:
distance to the lowest polymorph of the same formula: 0.3450 eV per atom
formation energy from raw total energies: -129 kJ/mol of formula units

=====

[8]
The following is a DFT calculation (PBE) of a geometry-optimized AlAg2Cl structure.

Unit cell a=5.6734 b=5.6734 c=5.6734 alpha=148.74 beta=123.05 gamma=66.41
Last column: nearest neighbours and their distance in Å.
Element x y z (fractional)
Al: 0.0000 0.0000 0.0000  2 Cl 2.40, 2 Ag 2.64
Ag: 0.5024 0.5024 0.0000  4 Ag 3.00-3.06, 4 Al 3.11, 4 Cl 3.27-3.29
Ag: 0.7737 0.2737 0.5000  2 Al 2.64
Cl: 0.1951 0.6951 0.5000  2 Al 2.40

Computed properties:
distance to the lowest polymorph of the same formula: 0.1731 eV per atom
formation energy from raw total energies: -14 kJ/mol of formula units